Record 1
The following is a DFT calculation (PBE) of PrErPt after structural relaxation.

Properties
energy relative to the lowest polymorph listed for this composition = 0.078 eV per atom

abc: 7.010 5.922 10.597
angles: 90.00 126.28 90.00
Positions (direct):
Pr: 0.188 0.143 0.385
Pr: 0.188 0.357 0.885
Pr: 0.812 0.643 0.115
Pr: 0.812 0.857 0.615
Er: 0.337 0.621 0.636
Er: 0.337 0.879 0.136
Er: 0.663 0.121 0.864
Er: 0.663 0.379 0.364
Pt: 0.327 0.658 0.365
Pt: 0.327 0.842 0.865
Pt: 0.673 0.158 0.135
Pt: 0.673 0.342 0.635


Record 2
The following is a DFT calculation (PBE) of AcY4Er2Sc after structural relaxation.

Properties
DFT total energy = -5.617 eV per atom

abc: 5.035 5.047 10.142
angles: 90.00 90.00 90.00
Positions (direct):
Ac: 0.000 0.000 0.000
Y: 0.000 0.500 0.263
Y: 0.000 0.500 0.737
Y: 0.500 0.000 0.263
Y: 0.500 0.000 0.737
Er: 0.000 0.000 0.500
Er: 0.500 0.500 0.000
Sc: 0.500 0.500 0.500


Record 3
The following is a DFT calculation (PBE) of FeOs2Ru2 after structural relaxation.

Properties
energy relative to the lowest polymorph listed for this composition = 0.349 eV per atom

abc: 3.635 3.635 11.835
angles: 90.00 90.00 90.00
Positions (direct):
Fe: 0.000 0.000 0.000
Fe: 0.500 0.500 0.500
Os: 0.000 0.000 0.401
Os: 0.000 0.000 0.599
Os: 0.500 0.500 0.099
Os: 0.500 0.500 0.901
Ru: 0.000 0.500 0.250
Ru: 0.000 0.500 0.750
Ru: 0.500 0.000 0.250
Ru: 0.500 0.000 0.750


Record 4
The following is a DFT calculation (PBE) of NaHfInH2 after structural relaxation.

Properties
DFT total energy = -3.164 eV per atom

abc: 4.101 4.101 5.842
angles: 90.00 90.00 90.00
Positions (direct):
Na: 0.000 0.000 0.000
Hf: 0.000 0.000 0.500
In: 0.500 0.500 0.500
H: 0.000 0.500 0.000
H: 0.500 0.000 0.000


Record 5
The following is a DFT calculation (PBE) of NaThTl2 after structural relaxation.

Properties
DFT total energy = -3.472 eV per atom

abc: 3.649 3.649 8.503
angles: 90.00 90.00 90.00
Positions (direct):
Na: 0.000 0.000 0.000
Th: 0.000 0.000 0.500
Tl: 0.500 0.500 0.238
Tl: 0.500 0.500 0.762


Record 6
The following is a DFT calculation (PBE) of UNbZn after structural relaxation.

Properties
energy relative to the lowest polymorph listed for this composition = 0.000 eV per atom

abc: 2.770 2.770 14.330
angles: 90.00 90.00 90.00
Positions (direct):
U: 0.000 0.000 0.000
U: 0.500 0.500 0.500
Nb: 0.000 0.000 0.319
Nb: 0.500 0.500 0.819
Zn: 0.000 0.000 0.671
Zn: 0.500 0.500 0.171


Calculated spin magnetization in order - 0.000 0.000 0.000 0.000 0.000 1.235 μB per formula unit